[1]
Below is Hf2CoAgH after structural relaxation, with properties calculated at the PBE level.

a = 4.580 Å, b = 4.580 Å, c = 3.465 Å
α = 90.00°, β = 90.00°, γ = 90.00°
Fractional coordinates of all 5 atoms:
Hf 0.000 0.500 0.000
Hf 0.500 0.000 0.000
Co 0.000 0.000 0.500
Ag 0.500 0.500 0.500
H 0.000 0.000 0.000

Properties
Final energy: -6.775 eV per atom
Mass density: 11.992 g/cm3

[2]
Below is CoAgHg2H after structural relaxation, with properties calculated at the PBE level.

a = 4.900 Å, b = 4.900 Å, c = 3.136 Å
α = 90.00°, β = 90.00°, γ = 90.00°
Fractional coordinates of all 5 atoms:
Co 0.000 0.000 0.000
Ag 0.500 0.500 0.000
Hg 0.000 0.500 0.500
Hg 0.500 0.000 0.500
H 0.000 0.000 0.500

Properties
Final energy: -2.442 eV per atom
Mass density: 12.546 g/cm3

[3]
Below is CoAg2H6Ir after structural relaxation, with properties calculated at the PBE level.

a = 4.872 Å, b = 4.872 Å, c = 4.872 Å
α = 120.13°, β = 119.95°, γ = 89.93°
Fractional coordinates of all 10 atoms:
Co 0.000 0.000 0.000
Ag 0.250 0.750 0.500
Ag 0.750 0.250 0.500
H 0.246 0.246 0.000
H 0.246 0.246 0.491
H 0.246 0.754 0.000
H 0.754 0.246 0.000
H 0.754 0.754 0.000
H 0.754 0.754 0.509
Ir 0.500 0.500 0.000

Properties
Final energy: -3.980 eV per atom
Mass density: 9.609 g/cm3

[4]
Below is K2CoAgH6 after structural relaxation, with properties calculated at the PBE level.

a = 5.614 Å, b = 5.614 Å, c = 5.093 Å
α = 90.00°, β = 90.00°, γ = 120.00°
Fractional coordinates of all 10 atoms:
K 0.333 0.667 0.282
K 0.667 0.333 0.718
Co 0.000 0.000 0.500
Ag 0.000 0.000 0.000
H 0.134 0.269 0.669
H 0.134 0.866 0.669
H 0.269 0.134 0.331
H 0.731 0.866 0.669
H 0.866 0.134 0.331
H 0.866 0.731 0.331

Properties
Final energy: -3.404 eV per atom
Mass density: 2.999 g/cm3

Among the records above, which one has the highest mass density?
CoAgHg2H

What is the formula in the third record?
CoAg2H6Ir